LaHg2WF: optimized geometry, PBE with a Hubbard U.

Output
Crystal system = tetragonal
Calculated total energy = -16.32 eV for the cell shown

Cell: 5.287 5.287 4.610 Å, 90.00 90.00 90.00°
Fractional coordinates of all 5 atoms:
F: 0.000 0.000 0.000
Hg: 0.000 0.500 0.000
Hg: 0.500 0.000 0.000
W: 0.500 0.500 0.500
La: 0.000 0.000 0.500